[1]
The following is a PBE-GGA calculation of crystalline Dy3Er3Ge4 at its relaxed geometry, from Alexandria via LeMat-Bulk.

```
data_Dy3Er3Ge4
_cell_length_a 4.233
_cell_length_b 10.658
_cell_length_c 10.677
_cell_angle_alpha 90.00
_cell_angle_beta 90.00
_cell_angle_gamma 90.00
_symmetry_space_group_name_H-M 'A m m 2'
_symmetry_Int_Tables_number 38
loop_
_symmetry_equiv_pos_as_xyz
'x,y,z'
'-x,-y,z'
'-x,y,z'
'x,-y,z'
'x,y+1/2,z+1/2'
'-x,-y+1/2,z+1/2'
'-x,y+1/2,z+1/2'
'x,-y+1/2,z+1/2'
loop_
_atom_site_label
_atom_site_type_symbol
_atom_site_fract_x
_atom_site_fract_y
_atom_site_fract_z
Dy1 Dy 0.000 0.000 0.000
Dy2 Dy 0.000 0.173 0.672
Er1 Er 0.000 0.000 0.345
Er2 Er 0.500 0.250 0.422
Ge1 Ge 0.500 0.000 0.545
Ge2 Ge 0.500 0.000 0.798
Ge3 Ge 0.500 0.125 0.173
```

D(E_F): 16.59 states/eV per cell
Total moment: 0.000 μB per formula unit
ΔE_f: -0.785 eV/atom



[2]
The following is a PBE-GGA calculation of crystalline Be4AgAu at its relaxed geometry, from Alexandria via LeMat-Bulk.

```
data_Be4AgAu
_cell_length_a 6.423
_cell_length_b 6.423
_cell_length_c 6.423
_cell_angle_alpha 90.00
_cell_angle_beta 90.00
_cell_angle_gamma 90.00
_symmetry_space_group_name_H-M 'F -4 3 m'
_symmetry_Int_Tables_number 216
_symmetry_space_group_name_Hall 'F -4 2 3'
loop_
_atom_site_label
_atom_site_type_symbol
_atom_site_fract_x
_atom_site_fract_y
_atom_site_fract_z
Be1 Be 0.125 0.125 0.125
Ag1 Ag 0.000 0.000 0.500
Au1 Au 0.250 0.250 0.750
```

D(E_F): 4.59 states/eV per cell
Total moment: 0.000 μB per formula unit
ΔE_f: -0.069 eV/atom



[3]
The following is a PBE-GGA calculation of crystalline CoTc at its relaxed geometry, from Alexandria via LeMat-Bulk.

```
data_CoTc
_cell_length_a 7.097
_cell_length_b 7.097
_cell_length_c 7.097
_cell_angle_alpha 90.00
_cell_angle_beta 90.00
_cell_angle_gamma 90.00
_symmetry_space_group_name_H-M 'I -4 3 m'
_symmetry_Int_Tables_number 217
_symmetry_space_group_name_Hall 'I -4 2 3'
loop_
_atom_site_label
_atom_site_type_symbol
_atom_site_fract_x
_atom_site_fract_y
_atom_site_fract_z
Co1 Co 0.173 0.173 0.173
Tc1 Tc 0.149 0.149 0.851
```

D(E_F): 19.43 states/eV per cell
Total moment: 0.000 μB per formula unit
ΔE_f: 1.516 eV/atom



[4]
The following is a PBE-GGA calculation of crystalline TiPdPt at its relaxed geometry, from Alexandria via LeMat-Bulk.

```
data_TiPdPt
_cell_length_a 4.4071
_cell_length_b 4.4071
_cell_length_c 2.7649
_cell_angle_alpha 90.00
_cell_angle_beta 90.00
_cell_angle_gamma 120.00
_symmetry_space_group_name_H-M 'P 3 m 1'
_symmetry_Int_Tables_number 156
loop_
_symmetry_equiv_pos_as_xyz
'x,y,z'
'-y,x-y,z'
'-x+y,-x,z'
'-y,-x,z'
'-x+y,y,z'
'x,x-y,z'
loop_
_atom_site_label
_atom_site_type_symbol
_atom_site_fract_x
_atom_site_fract_y
_atom_site_fract_z
Ti1 Ti 0.0000 0.0000 0.0000
Pd1 Pd 0.3333 0.6667 0.8086
Pt1 Pt 0.6667 0.3333 0.3639
```

D(E_F): 2.85 states/eV per cell
Total moment: 0.000 μB per formula unit
ΔE_f: -0.656 eV/atom